CeDySb after structural relaxation. Source: the Alexandria database, functional PBE-GGA.

Results
- Density of states at the Fermi level: 2.6758 states/eV/atom
- Raw formation energy: -398 meV/atom
- ρ: 7748 kg/m³

```
CeDySb
1.0
3.9923 0.0000 0.0000
0.0000 5.1289 0.0000
0.0000 -2.5644 4.4418
Dy Sb Ce
1 1 1
Direct
0.5384 0.6667 0.3333 Dy
0.4426 0.3333 0.6667 Sb
0.0189 0.0000 0.0000 Ce
```